No. 1
Here is a geometry-optimized SbP5O15 structure from Alexandria via LeMat-Bulk. Energies are from PBEsol.

```
42
Lattice="5.2760 0.0128 0.0000 -1.6576 7.8994 0.0000 0.0000 0.0000 13.6918" Properties=species:S:1:pos:R:3 pbc="T T T"
P 4.4009 4.0041 1.9334
O 0.5157 4.3916 5.3753
P 1.5774 0.4042 10.2689
O 3.1026 3.5205 8.3166
P 3.2929 1.3587 5.7472
O -0.4066 7.0046 0.0747
O 1.9707 2.2149 6.0067
O 3.1026 3.5205 12.2212
O 4.2650 4.5083 3.4230
O 4.2148 2.4759 1.9652
O 0.7859 7.5141 11.4878
O 2.8324 0.3980 4.6419
O -1.4609 7.7945 10.2689
P -0.7826 3.9081 8.7793
P 0.3254 6.5534 7.9446
O 3.3062 4.6943 1.1157
O 2.0248 1.8051 10.2689
O 4.0250 0.9076 6.9206
O 1.6476 5.6972 7.6851
O -0.6467 3.4038 10.2689
P 4.4009 4.0041 4.9125
O 1.6476 5.6972 12.8526
O 4.0250 0.9076 13.6171
O 5.0793 0.1176 3.4230
O -0.4066 7.0046 6.7712
O 1.9707 2.2149 0.8392
P -0.7826 3.9081 11.7584
O 0.3122 3.2178 12.5761
Sb 1.8092 3.9561 0.0000
O -0.5964 5.4362 11.7266
O -0.5964 5.4362 8.8111
O 4.2148 2.4759 4.8807
O 2.8324 0.3980 2.2040
O 0.7859 7.5141 9.0499
P 3.2929 1.3587 1.0987
O 0.5157 4.3916 1.4707
O 1.5935 6.1070 3.4230
O 0.3122 3.2178 7.9617
Sb 1.8092 3.9561 6.8459
P 0.3254 6.5534 12.5931
P 2.0409 7.5079 3.4230
O 3.3062 4.6943 5.7302
```

The uncorrected formation energy is -1.8318 eV/atom. The value obtained for the calculated total energy is -150.72 eV per formula unit.

=====

No. 2
Here is a geometry-optimized ScSbPO2 structure from Alexandria via LeMat-Bulk. Energies are from PBEsol.

```
5
Lattice="3.9753 0.0000 0.0000 0.0000 3.9753 0.0000 0.0000 0.0000 5.1612" Properties=species:S:1:pos:R:3 pbc="T T T"
O 1.9877 0.0000 0.0000
Sc 1.9877 1.9877 2.5806
Sb 0.0000 0.0000 0.0000
P 0.0000 0.0000 2.5806
O 0.0000 1.9877 0.0000
```

The uncorrected formation energy is -0.9042 eV/atom. The value obtained for the calculated total energy is -31.97 eV per formula unit.

=====

No. 3
Here is a geometry-optimized TiSb3P6O24 structure from Alexandria via LeMat-Bulk. Energies are from PBEsol.

```
34
Lattice="-4.9861 -4.2816 5.1918 3.3343 -4.9665 5.8620 -0.4645 2.7540 8.5807" Properties=species:S:1:pos:R:3 pbc="T T T"
O -2.7154 -3.2056 14.5536
P -4.0826 -4.6857 8.5831
O 2.3485 -2.3457 9.6504
O 1.2114 -5.3023 11.2219
O -1.2002 0.2683 8.4522
O 0.6231 -3.2485 5.0360
Ti -1.6147 -6.7400 13.1577
P 1.9251 -1.8047 11.0092
O -3.3632 -1.0857 8.2488
P 0.4033 -6.4161 10.5671
O 0.0375 -3.7530 15.1578
O -0.0042 -5.8126 9.2008
O -1.3453 -2.5205 12.4936
P 0.4397 -3.0738 6.5819
O -0.1280 -1.7127 6.9662
O 1.8199 -3.2745 7.1896
Sb -0.5012 0.2649 6.4927
O -0.7975 -6.7881 11.4241
O -3.8184 -2.9856 12.3774
Sb -1.0194 -0.6230 12.0185
O -4.2536 -3.5332 7.6047
O -4.2795 -4.2113 10.0178
P -2.5054 -3.4281 13.0224
O -2.2472 -0.8120 10.4728
O 0.4953 -1.1841 10.8682
O -2.1134 -2.7725 4.5167
O -0.6060 -4.0719 7.1362
O -2.1385 -4.8808 12.7513
O -0.1358 -1.4926 2.9561
O -2.0445 -5.0055 16.6875
O -2.6437 -5.2570 8.5848
P -2.5294 -0.1310 9.0923
Sb -1.0976 -5.9214 7.5739
O 1.9058 -2.8542 12.1200
```

The uncorrected formation energy is -2.0257 eV/atom. The value obtained for the calculated total energy is -251.60 eV per formula unit.

=====

No. 4
Here is a geometry-optimized TiSbP3O12 structure from Alexandria via LeMat-Bulk. Energies are from PBEsol.

```
34
Lattice="-6.7568 3.4033 3.9983 -7.4206 -4.2545 0.2379 -2.6621 -3.5335 7.6656" Properties=species:S:1:pos:R:3 pbc="T T T"
O -8.2077 -4.7052 2.6630
P -5.6736 -4.4967 5.9702
O -11.6473 -3.2090 7.1829
O -6.0989 1.1015 4.9846
Sb -3.5615 -2.1171 4.9401
O -7.5768 -0.7322 4.1070
Ti -7.5481 -3.5649 8.5922
P -10.7227 -4.2608 7.7590
O -3.1316 0.0909 1.7758
O -6.8340 0.6031 7.5755
O -10.0458 -0.5380 5.0227
Ti -13.3057 -2.2238 6.8775
O -12.3254 -0.8116 6.0452
O -5.3276 -1.2955 4.7131
P -11.1457 0.1389 5.8732
O -13.8247 -4.3801 10.2259
O -7.5174 -1.6744 8.3218
O -11.8105 -2.3774 10.6019
O -10.0241 -4.8361 4.4231
O -6.7189 -3.8962 6.9038
O -4.8577 -1.9512 1.2843
O -10.7344 -5.5750 6.9441
O -4.4350 -3.5731 5.9056
O -6.2788 -4.7572 4.6068
O -9.3055 -2.6788 3.6659
Sb -9.3192 -0.7760 3.2254
O -11.1965 -4.7727 9.1546
O -8.6631 0.3245 9.3263
O -5.6890 0.2232 2.6885
P -6.1530 -0.1293 4.0862
O -10.3982 0.3273 7.2297
P -9.5320 -4.1122 3.1316
P -7.3387 -0.2197 8.7422
O -9.3002 -3.7193 7.8475
```

The uncorrected formation energy is -2.2107 eV/atom. The value obtained for the calculated total energy is -130.83 eV per formula unit.

=====

No. 5
Here is a geometry-optimized Ti3Sb2P6O24 structure from Alexandria via LeMat-Bulk. Energies are from PBEsol.

```
35
Lattice="-5.9591 -5.3916 2.4884 -0.0989 -7.8496 -3.0242 2.4038 -6.6683 5.5287" Properties=species:S:1:pos:R:3 pbc="T T T"
O -2.0487 -13.7455 4.9565
O -1.6859 -11.2660 5.1101
O -1.9351 -6.1383 0.0851
O -2.8047 -12.1197 3.0513
Ti 0.5146 -5.7053 3.0910
O -0.1016 -6.6964 4.5924
O -0.3341 -3.9707 -0.2994
Sb -5.5969 -13.4762 0.0591
O -5.2903 -7.5309 3.6507
P -1.0060 -7.2558 0.4994
Ti -4.0327 -8.8305 -0.3495
O 0.4293 -11.6236 3.3297
O 0.1402 -7.4803 -0.5380
Ti 0.2005 -10.9882 5.1128
O 0.0649 -9.1611 4.5848
O -2.4517 -3.8137 1.4037
P -5.0917 -8.9378 3.0014
O -0.4167 -6.9792 1.8727
O -1.2164 -12.4418 0.3346
Sb -2.0161 -9.8584 2.2526
O -1.9195 -8.5353 0.5089
P -2.6435 -12.3268 4.5359
P -2.5956 -12.0334 -0.1559
O -3.9290 -8.8346 1.9480
P -0.8914 -7.9931 4.8900
O -2.1780 -8.1726 4.1248
O -3.6232 -13.1750 0.1290
O -4.7829 -9.9668 4.0762
O -3.9397 -12.2416 5.3764
O -1.1520 -15.7954 3.4518
P 1.1556 -11.1255 2.0662
O 0.3648 -10.0121 1.4276
O -3.3281 -16.1184 5.0107
O 1.4003 -12.3739 1.1857
O -3.1002 -10.7268 0.5582
```

The uncorrected formation energy is -2.2795 eV/atom. The value obtained for the calculated total energy is -274.59 eV per formula unit.

=====

No. 6
Here is a geometry-optimized TiSbPO2 structure from Alexandria via LeMat-Bulk. Energies are from PBEsol.

```
5
Lattice="-3.5203 -0.3883 -1.6314 1.4402 -2.6433 -2.4786 -1.1555 -3.8202 3.4027" Properties=species:S:1:pos:R:3 pbc="T T T"
Sb 0.0000 0.0000 0.0000
Ti -1.6179 -3.4259 -0.3536
O 0.7201 -1.3217 -1.2393
O -1.7602 -0.1941 -0.8157
P -0.5778 -1.9101 1.7013
```

The uncorrected formation energy is -0.4523 eV/atom. The value obtained for the calculated total energy is -31.43 eV per formula unit.